a.
Entry from the Alexandria database: crystalline CsTlGe2 at its relaxed geometry (GGA-PBE).

```
data_CsTlGe2
_space_group_name_H-M_alt 'F m -3 m'
_space_group_IT_number 225
_space_group_name_Hall '-F 4 2 3'
_cell_length_a 7.7812
_cell_length_b 7.7812
_cell_length_c 7.7812
_cell_angle_alpha 90.00
_cell_angle_beta 90.00
_cell_angle_gamma 90.00
loop_
_atom_site_label
_atom_site_fract_x
_atom_site_fract_y
_atom_site_fract_z
Cs1 0.0000 0.0000 0.0000
Tl1 0.0000 0.0000 0.5000
Ge1 0.2500 0.2500 0.2500
```

Values from the calculation:
- Fermi-level density of states: 0.5841 states/eV/atom

b.
Entry from the Alexandria database: crystalline CsTlGe2 at its relaxed geometry (GGA-PBE).

```
data_CsTlGe2
_space_group_name_H-M_alt 'I 41/a m d'
_space_group_IT_number 141
_cell_length_a 5.4473
_cell_length_b 5.4473
_cell_length_c 20.2997
_cell_angle_alpha 90.00
_cell_angle_beta 90.00
_cell_angle_gamma 90.00
loop_
_space_group_symop_operation_xyz
'x,y,z'
'-x,-y,-z'
'-y+1/4,x+3/4,z+1/4'
'y+1/4,-x+3/4,-z+1/4'
'-x+1/2,-y,z+1/2'
'x+1/2,y,-z+1/2'
'y+1/4,-x+1/4,z+3/4'
'-y+1/4,x+1/4,-z+3/4'
'x,-y,-z'
'-x,y,z'
'-y+1/4,-x+1/4,-z+3/4'
'y+1/4,x+1/4,z+3/4'
'-x+1/2,y,-z+1/2'
'x+1/2,-y,z+1/2'
'y+1/4,x+3/4,-z+1/4'
'-y+1/4,-x+3/4,z+1/4'
'x+1/2,y+1/2,z+1/2'
'-x+1/2,-y+1/2,-z+1/2'
'-y+3/4,x+1/4,z+3/4'
'y+3/4,-x+1/4,-z+3/4'
'-x,-y+1/2,z'
'x,y+1/2,-z'
'y+3/4,-x+3/4,z+1/4'
'-y+3/4,x+3/4,-z+1/4'
'x+1/2,-y+1/2,-z+1/2'
'-x+1/2,y+1/2,z+1/2'
'-y+3/4,-x+3/4,-z+1/4'
'y+3/4,x+3/4,z+1/4'
'-x,y+1/2,-z'
'x,-y+1/2,z'
'y+3/4,x+1/4,-z+3/4'
'-y+3/4,-x+1/4,z+3/4'
loop_
_atom_site_label
_atom_site_fract_x
_atom_site_fract_y
_atom_site_fract_z
Cs1 0.0000 0.2500 0.3750
Tl1 0.0000 0.2500 0.8750
Ge1 0.0000 0.0000 0.0000
```

Values from the calculation:
- Fermi-level density of states: 0.4935 states/eV/atom

Winner for stability: b

a.
Entry from the Alexandria database: crystalline CsGe2W at its relaxed geometry (GGA-PBE).

```
data_CsGe2W
_space_group_name_H-M_alt 'F m -3 m'
_space_group_IT_number 225
_space_group_name_Hall '-F 4 2 3'
_cell_length_a 7.1115
_cell_length_b 7.1115
_cell_length_c 7.1115
_cell_angle_alpha 90.00
_cell_angle_beta 90.00
_cell_angle_gamma 90.00
loop_
_atom_site_label
_atom_site_fract_x
_atom_site_fract_y
_atom_site_fract_z
Cs1 0.0000 0.0000 0.0000
Ge1 0.2500 0.2500 0.2500
W1 0.0000 0.0000 0.5000
```

Values from the calculation:
- Fermi-level density of states: 0.6303 states/eV/atom

b.
Entry from the Alexandria database: crystalline CsGe2W at its relaxed geometry (GGA-PBE).

```
data_CsGe2W
_space_group_name_H-M_alt 'I 41/a m d'
_space_group_IT_number 141
_cell_length_a 6.9292
_cell_length_b 6.9292
_cell_length_c 13.3096
_cell_angle_alpha 90.00
_cell_angle_beta 90.00
_cell_angle_gamma 90.00
loop_
_space_group_symop_operation_xyz
'x,y,z'
'-x,-y,-z'
'-y+1/4,x+3/4,z+1/4'
'y+1/4,-x+3/4,-z+1/4'
'-x+1/2,-y,z+1/2'
'x+1/2,y,-z+1/2'
'y+1/4,-x+1/4,z+3/4'
'-y+1/4,x+1/4,-z+3/4'
'x,-y,-z'
'-x,y,z'
'-y+1/4,-x+1/4,-z+3/4'
'y+1/4,x+1/4,z+3/4'
'-x+1/2,y,-z+1/2'
'x+1/2,-y,z+1/2'
'y+1/4,x+3/4,-z+1/4'
'-y+1/4,-x+3/4,z+1/4'
'x+1/2,y+1/2,z+1/2'
'-x+1/2,-y+1/2,-z+1/2'
'-y+3/4,x+1/4,z+3/4'
'y+3/4,-x+1/4,-z+3/4'
'-x,-y+1/2,z'
'x,y+1/2,-z'
'y+3/4,-x+3/4,z+1/4'
'-y+3/4,x+3/4,-z+1/4'
'x+1/2,-y+1/2,-z+1/2'
'-x+1/2,y+1/2,z+1/2'
'-y+3/4,-x+3/4,-z+1/4'
'y+3/4,x+3/4,z+1/4'
'-x,y+1/2,-z'
'x,-y+1/2,z'
'y+3/4,x+1/4,-z+3/4'
'-y+3/4,-x+1/4,z+3/4'
loop_
_atom_site_label
_atom_site_fract_x
_atom_site_fract_y
_atom_site_fract_z
Cs1 0.0000 0.2500 0.3750
Ge1 0.0000 0.0000 0.0000
W1 0.0000 0.2500 0.8750
```

Values from the calculation:
- Fermi-level density of states: 0.8037 states/eV/atom

Winner for stability: b

a.
Entry from the Alexandria database: crystalline CsYGe at its relaxed geometry (GGA-PBE).

```
data_CsYGe
_space_group_name_H-M_alt 'P 1'
_space_group_IT_number 1
_cell_length_a 4.9444
_cell_length_b 4.9449
_cell_length_c 13.0190
_cell_angle_alpha 87.61
_cell_angle_beta 87.44
_cell_angle_gamma 60.08
loop_
_space_group_symop_operation_xyz
'x,y,z'
loop_
_atom_site_label
_atom_site_fract_x
_atom_site_fract_y
_atom_site_fract_z
Cs1 0.0000 0.0000 0.0000
Cs2 0.3857 0.3759 0.3749
Y1 0.0318 0.0259 0.6255
Y2 0.6857 0.6821 0.7752
Ge1 0.3519 0.3483 0.7782
Ge2 0.7043 0.6971 0.5548
```

Values from the calculation:
- Fermi-level density of states: 2.1940 states/eV/atom

b.
Entry from the Alexandria database: crystalline CsYGe at its relaxed geometry (GGA-PBE).

```
data_CsYGe
_space_group_name_H-M_alt 'P n m a'
_space_group_IT_number 62
_cell_length_a 8.4920
_cell_length_b 5.0940
_cell_length_c 12.8212
_cell_angle_alpha 90.00
_cell_angle_beta 90.00
_cell_angle_gamma 90.00
loop_
_space_group_symop_operation_xyz
'x,y,z'
'-x,-y,-z'
'-x+1/2,-y,z+1/2'
'x+1/2,y,-z+1/2'
'x+1/2,-y+1/2,-z+1/2'
'-x+1/2,y+1/2,z+1/2'
'-x,y+1/2,-z'
'x,-y+1/2,z'
loop_
_atom_site_label
_atom_site_fract_x
_atom_site_fract_y
_atom_site_fract_z
Cs1 0.1063 0.2500 0.1186
Y1 0.0273 0.7500 0.4014
Ge1 0.1732 0.2500 0.4197
```

Values from the calculation:
- Fermi-level density of states: 0.0545 states/eV/atom

Winner for stability: a

a.
Entry from the Alexandria database: crystalline Cs2YGe at its relaxed geometry (GGA-PBE).

```
data_Cs2YGe
_space_group_name_H-M_alt 'I -4 2 d'
_space_group_IT_number 122
_space_group_name_Hall 'I -4 2bw'
_cell_length_a 14.5673
_cell_length_b 14.5673
_cell_length_c 5.5125
_cell_angle_alpha 90.00
_cell_angle_beta 90.00
_cell_angle_gamma 90.00
loop_
_atom_site_label
_atom_site_fract_x
_atom_site_fract_y
_atom_site_fract_z
Cs1 0.0757 0.2500 0.1250
Y1 0.0000 0.0000 0.5000
Ge1 0.0000 0.0000 0.0000
```

Values from the calculation:
- Fermi-level density of states: 0.6912 states/eV/atom

b.
Entry from the Alexandria database: crystalline Cs2YGe at its relaxed geometry (GGA-PBE).

```
data_Cs2YGe
_space_group_name_H-M_alt 'F m -3 m'
_space_group_IT_number 225
_space_group_name_Hall '-F 4 2 3'
_cell_length_a 8.7973
_cell_length_b 8.7973
_cell_length_c 8.7973
_cell_angle_alpha 90.00
_cell_angle_beta 90.00
_cell_angle_gamma 90.00
loop_
_atom_site_label
_atom_site_fract_x
_atom_site_fract_y
_atom_site_fract_z
Cs1 0.2500 0.2500 0.2500
Y1 0.0000 0.0000 0.0000
Ge1 0.0000 0.0000 0.5000
```

Values from the calculation:
- Fermi-level density of states: 0.7794 states/eV/atom

Winner for stability: a